VASP calculation (PBE) on CsGa2Cl after structural relaxation.

Cell lengths 4.8320, 4.8320, 23.7220 Å; angles 90.00, 90.00, 90.00 degrees
Closest atoms and distances in Å follow each position.
Space group I-42d (No. 122)
Unique sites:
Cs: 0.0000 0.0000 0.0000 [4 per cell]  4 Cl 3.42, 4 Ga 3.72
Ga: 0.1071 0.2500 0.6250 [8 per cell]  2 Ga 2.63
Cl: 0.0000 0.0000 0.5000 [4 per cell]  4 Ga 3.24, 4 Cs 3.42

- Density: 3.69 Mg/m³
- DOS(E_F): 5.75 states/eV per cell
- Electronic total energy: -2.677 eV/atom
- Distance to the lowest polymorph of the same formula: 0 meV/atom